Computed, not measured: an optimized crystal structure of DyMgPaTc at the PBE-GGA level of DFT.

Summary:
energy relative to the elements	107.9	meV/atom
crystal system	cubic
total magnetic moment	0.00	μB/cell
D(E_F)	21.286	states/eV per cell

Unit cell a=7.100 b=7.100 c=7.100 alpha=90.00 beta=90.00 gamma=90.00
Space group F-43m (No. 216)
Inequivalent atoms, fractional coordinates:
Dy 0.000 0.000 0.000
Mg 0.250 0.250 0.750
Pa 0.000 0.000 0.500
Tc 0.250 0.250 0.250